Entry 1:
Material: Li2DySnO4
Method: DFT, GGA-PBE
State: optimized geometry

Values from the calculation:
Uncorrected formation energy, eV per atom: -2.197
DOS at the Fermi energy, states/eV/cell: 3.03
M_tot, μB/cell: 0.0

POSCAR file:
```
Li2DySnO4
1.0
4.485 0.000 0.000
0.000 4.485 0.000
0.000 0.000 10.045
Li Dy Sn O
4 2 2 8
direct
0.000 0.000 0.000
0.000 0.500 0.250
0.500 0.000 0.750
0.500 0.500 0.500
0.000 0.500 0.750
0.500 0.000 0.250
0.000 0.000 0.500
0.500 0.500 0.000
0.000 0.000 0.268
0.000 0.000 0.732
0.000 0.500 0.517
0.000 0.500 0.983
0.500 0.000 0.017
0.500 0.000 0.483
0.500 0.500 0.232
0.500 0.500 0.768
```

***

Entry 2:
Material: LiPaNi6
Method: DFT, GGA-PBE
State: optimized geometry

Values from the calculation:
E above lowest polymorph, meV/atom: 164
DOS at the Fermi energy, states/eV/cell: 5.87
M_tot, μB/cell: 0.0

POSCAR file:
```
LiPaNi6
1.0
4.703 0.000 0.000
0.000 4.703 0.000
0.000 0.000 4.703
Li Pa Ni
1 1 6
direct
0.000 0.000 0.000
0.500 0.500 0.500
0.000 0.244 0.500
0.000 0.756 0.500
0.244 0.500 0.000
0.500 0.000 0.244
0.500 0.000 0.756
0.756 0.500 0.000
```